[1]
Computed, not measured: a relaxed Sm9Sc4In11 crystal at the PBE level of DFT.

Computed properties:
crystal system: orthorhombic
E_tot: -4.473 eV/atom

a b c (Å): 3.3818 14.0570 14.0570
angles (deg): 106.29 90.00 90.00
Last column: magnetic moment on the atom in μB.
Element x y z (fractional)
Sm 0.5000 0.6373 0.1445  0.01
Sm 0.5000 0.3627 0.8555  0.01
Sm 0.5000 0.1445 0.6373  0.01
Sm 0.5000 0.8555 0.3627  0.01
Sm 0.5000 0.7827 0.9431  0.00
Sm 0.5000 0.2173 0.0569  0.00
Sm 0.5000 0.9431 0.7827  0.00
Sm 0.5000 0.0569 0.2173  0.00
Sm 0.5000 0.5000 0.5000  0.26
Sc 0.5000 0.5489 0.7471  0.02
Sc 0.5000 0.4511 0.2529  0.02
Sc 0.5000 0.7471 0.5489  0.02
Sc 0.5000 0.2529 0.4511  0.02
In 0.0000 0.5723 0.9344  0.00
In 0.0000 0.4277 0.0656  0.00
In 0.0000 0.9344 0.5723  0.00
In 0.0000 0.0656 0.4277  0.00
In 0.0000 0.6355 0.3645  0.00
In 0.0000 0.3645 0.6355  0.00
In 0.0000 0.8451 0.1549  0.00
In 0.0000 0.1549 0.8451  0.00
In 0.0000 0.0000 0.0000  0.00
In 0.0000 0.7216 0.7216  0.00
In 0.0000 0.2784 0.2784  0.00

---

[2]
Computed, not measured: a relaxed Sm12Sc5In2 crystal at the PBE level of DFT.

Computed properties:
crystal system: monoclinic
E_tot: -4.941 eV/atom

a b c (Å): 10.7437 8.4939 8.4922
angles (deg): 79.88 90.00 129.23
Element x y z (fractional)
Sm 0.8667 0.7333 0.1322
Sm 0.0195 0.6399 0.8132
Sm 0.6204 0.6399 0.8132
Sm 0.1537 0.7816 0.3917
Sm 0.6279 0.7816 0.3917
Sm 0.4144 0.8287 0.7027
Sm 0.5856 0.1713 0.2973
Sm 0.8463 0.2184 0.6083
Sm 0.3721 0.2184 0.6083
Sm 0.9805 0.3601 0.1868
Sm 0.3796 0.3601 0.1868
Sm 0.1333 0.2667 0.8678
Sc 0.2372 0.4744 0.4669
Sc 0.3772 0.7544 0.0994
Sc 0.0000 0.0000 0.5000
Sc 0.6228 0.2456 0.9006
Sc 0.7628 0.5256 0.5331
In 0.7349 0.0000 0.0000
In 0.2651 0.0000 0.0000

---

[3]
Computed, not measured: a relaxed SmSc6In3 crystal at the PBE level of DFT.

Computed properties:
crystal system: orthorhombic
E_tot: -5.258 eV/atom

a b c (Å): 8.2134 7.9912 7.9912
angles (deg): 97.14 90.00 90.00
Element x y z (fractional)
Sm 0.0060 0.3064 0.6936
Sm 0.5060 0.6936 0.3064
Sc 0.1576 0.7415 0.6026
Sc 0.6576 0.6026 0.7415
Sc 0.3053 0.5860 0.9345
Sc 0.8053 0.9345 0.5860
Sc 0.1972 0.0218 0.9782
Sc 0.5828 0.2355 0.7645
Sc 0.0828 0.7645 0.2355
Sc 0.6972 0.9782 0.0218
Sc 0.3053 0.0655 0.4140
Sc 0.8053 0.4140 0.0655
Sc 0.1576 0.3974 0.2585
Sc 0.6576 0.2585 0.3974
In 0.4573 0.8969 0.7168
In 0.9573 0.7168 0.8969
In 0.3589 0.4281 0.5719
In 0.8589 0.5719 0.4281
In 0.9573 0.1031 0.2832
In 0.4573 0.2832 0.1031